This record from Alexandria describes Rb2MnZn2O4 after structural relaxation. The functional is PBE with a Hubbard U.

a = 3.157 Å, b = 7.852 Å, c = 6.269 Å
α = 98.86°, β = 90.00°, γ = 101.60°
Last column: magnetic moment on the atom in μB.
Fractional positions:
O (0.765, 0.529, 0.801)  -0.01
O (0.442, 0.885, 0.124)  -0.04
Zn (0.679, 0.358, 0.045)  0.00
O (0.558, 0.115, 0.876)  -0.04
Rb (0.134, 0.268, 0.549)  -0.01
Zn (0.321, 0.642, 0.955)  0.00
Rb (0.866, 0.732, 0.451)  -0.01
Mn (0.000, 0.000, 0.000)  3.18
O (0.235, 0.471, 0.199)  -0.01

Properties
DFT total energy   -43.06 eV per cell
V   150.4 Å³/cell